Entry 1:
Density functional theory data (PBE) for a geometry-optimized CePuTi2 structure.

Values from the calculation:
Spin magnetization ... 4.51 Bohr magnetons per cell
Energy of formation from the pure elements ... 0.20 eV/atom
Fermi-level density of states ... 9.977 states/eV/cell

Unit cell a=3.043 b=3.043 c=9.212 alpha=90.00 beta=90.00 gamma=90.00
Space group P4/mmm (No. 123)
One atom of each set of equivalent atoms:
Ce 0.000 0.000 0.000 x1
Pu 0.000 0.000 0.500 x1
Ti 0.500 0.500 0.264 x2

=====

Entry 2:
Density functional theory data (PBE) for a geometry-optimized CePuTiZn structure.

Values from the calculation:
Spin magnetization ... 35.53 Bohr magnetons per cell
Energy of formation from the pure elements ... 0.03 eV/atom
Fermi-level density of states ... 34.155 states/eV/cell

Unit cell a=6.960 b=6.960 c=6.960 alpha=90.00 beta=90.00 gamma=90.00
Space group F-43m (No. 216)
One atom of each set of equivalent atoms:
Ce 0.000 0.000 0.000 x4
Pu 0.250 0.250 0.750 x4
Ti 0.000 0.000 0.500 x4
Zn 0.250 0.250 0.250 x4

=====

Entry 3:
Density functional theory data (PBE) for a geometry-optimized CePuTl4 structure.

Values from the calculation:
Spin magnetization ... 14.91 Bohr magnetons per cell
Energy of formation from the pure elements ... -0.07 eV/atom
Fermi-level density of states ... 31.366 states/eV/cell

Unit cell a=11.558 b=5.289 c=6.999 alpha=90.00 beta=127.24 gamma=90.00
Space group C2/m (No. 12)
One atom of each set of equivalent atoms:
Ce 0.000 0.000 0.000 x2
Pu 0.000 0.000 0.500 x2
Tl 0.165 0.500 0.866 x4
Tl 0.168 0.500 0.367 x4

=====

Entry 4:
Density functional theory data (PBE) for a geometry-optimized Ce2PuTl structure.

Values from the calculation:
Spin magnetization ... 5.23 Bohr magnetons per cell
Energy of formation from the pure elements ... 0.18 eV/atom
Fermi-level density of states ... 24.210 states/eV/cell

Unit cell a=3.6576 b=3.6576 c=25.6799 alpha=90.00 beta=90.00 gamma=120.00
Space group R3m (No. 160, hexagonal axes)
One atom of each set of equivalent atoms:
Ce 0.0000 0.0000 0.0000 x3
Ce 0.0000 0.0000 0.2122 x3
Pu 0.0000 0.0000 0.6041 x3
Tl 0.0000 0.0000 0.4381 x3

=====

Entry 5:
Density functional theory data (PBE) for a geometry-optimized Ce2Pu3Tl2 structure.

Values from the calculation:
Spin magnetization ... 5.61 Bohr magnetons per cell
Energy of formation from the pure elements ... 0.01 eV/atom
Fermi-level density of states ... 16.818 states/eV/cell

Unit cell a=6.230 b=6.234 c=6.301 alpha=98.05 beta=112.56 gamma=118.01
Space group P-1 (No. 2)
One atom of each set of equivalent atoms:
Ce 0.195 0.302 0.497 x2
Pu 0.000 0.000 0.000 x1
Pu 0.272 0.772 0.501 x2
Tl 0.336 0.676 0.016 x2

=====

Entry 6:
Density functional theory data (PBE) for a geometry-optimized CePuTl2 structure.

Values from the calculation:
Spin magnetization ... 6.81 Bohr magnetons per cell
Energy of formation from the pure elements ... -0.14 eV/atom
Fermi-level density of states ... 12.041 states/eV/cell

Unit cell a=3.383 b=3.383 c=9.617 alpha=90.00 beta=90.00 gamma=90.00
Space group P4/mmm (No. 123)
One atom of each set of equivalent atoms:
Ce 0.000 0.000 0.000 x1
Pu 0.000 0.000 0.500 x1
Tl 0.500 0.500 0.252 x2

=====

Entry 7:
Density functional theory data (PBE) for a geometry-optimized Ce9Pu2Tl3 structure.

Values from the calculation:
Spin magnetization ... 0.00 Bohr magnetons per cell
Energy of formation from the pure elements ... -0.19 eV/atom
Fermi-level density of states ... 120.345 states/eV/cell

Unit cell a=12.5181 b=12.5181 c=16.5206 alpha=90.00 beta=90.00 gamma=120.00
Space group R-3c (No. 167, hexagonal axes)
One atom of each set of equivalent atoms:
Ce 0.0000 0.1572 0.2500 x18
Ce 0.0023 0.1716 0.9202 x36
Pu 0.0000 0.0000 0.1499 x12
Tl 0.0001 0.3333 0.0833 x18

=====

Entry 8:
Density functional theory data (PBE) for a geometry-optimized Ce7PuTl4 structure.

Values from the calculation:
Spin magnetization ... 4.22 Bohr magnetons per cell
Energy of formation from the pure elements ... -0.13 eV/atom
Fermi-level density of states ... 41.253 states/eV/cell

Unit cell a=11.581 b=5.165 c=11.970 alpha=90.00 beta=107.00 gamma=90.00
Space group C2/m (No. 12)
One atom of each set of equivalent atoms:
Ce 0.000 0.000 0.000 x2
Ce 0.111 0.000 0.474 x4
Ce 0.111 0.500 0.209 x4
Ce 0.186 0.500 0.942 x4
Pu 0.000 0.500 0.000 x2
Tl 0.092 0.000 0.770 x4
Tl 0.165 0.500 0.647 x4

=====

Entry 9:
Density functional theory data (PBE) for a geometry-optimized Ce6PuTl12 structure.

Values from the calculation:
Spin magnetization ... 37.93 Bohr magnetons per cell
Energy of formation from the pure elements ... -0.10 eV/atom
Fermi-level density of states ... 135.108 states/eV/cell

Unit cell a=11.8998 b=11.8998 c=13.6313 alpha=90.00 beta=90.00 gamma=120.00
Space group R-3 (No. 148, hexagonal axes)
One atom of each set of equivalent atoms:
Ce 0.0251 0.4273 0.2135 x18
Pu 0.0000 0.0000 0.5000 x3
Tl 0.0397 0.1814 0.3133 x18
Tl 0.0538 0.8548 0.9062 x18

=====

Entry 10:
Density functional theory data (PBE) for a geometry-optimized Ce2Pu2Tl3 structure.

Values from the calculation:
Spin magnetization ... 28.11 Bohr magnetons per cell
Energy of formation from the pure elements ... -0.10 eV/atom
Fermi-level density of states ... 34.876 states/eV/cell

Unit cell a=4.921 b=21.882 c=3.561 alpha=90.00 beta=90.00 gamma=90.00
Space group Cmmm (No. 65)
One atom of each set of equivalent atoms:
Ce 0.000 0.076 0.000 x4
Pu 0.000 0.209 0.000 x4
Tl 0.000 0.347 0.500 x4
Tl 0.000 0.500 0.500 x2

=====

Entry 11:
Density functional theory data (PBE) for a geometry-optimized Ce5Pu2Tl3 structure.

Values from the calculation:
Spin magnetization ... 36.32 Bohr magnetons per cell
Energy of formation from the pure elements ... 0.09 eV/atom
Fermi-level density of states ... 96.248 states/eV/cell

Unit cell a=8.839 b=13.746 c=9.887 alpha=90.00 beta=90.00 gamma=90.00
Space group Ibam (No. 72)
One atom of each set of equivalent atoms:
Ce 0.000 0.000 0.250 x4
Ce 0.000 0.271 0.250 x8
Ce 0.237 0.389 0.000 x8
Pu 0.045 0.361 0.500 x8
Tl 0.000 0.500 0.250 x4
Tl 0.111 0.138 0.000 x8

=====

Entry 12:
Density functional theory data (PBE) for a geometry-optimized CePuTl2 structure.

Values from the calculation:
Spin magnetization ... 28.71 Bohr magnetons per cell
Energy of formation from the pure elements ... -0.09 eV/atom
Fermi-level density of states ... 64.553 states/eV/cell

Unit cell a=7.737 b=7.737 c=7.737 alpha=90.00 beta=90.00 gamma=90.00
Space group Fm-3m (No. 225)
One atom of each set of equivalent atoms:
Ce 0.000 0.000 0.000 x4
Pu 0.000 0.000 0.500 x4
Tl 0.250 0.250 0.250 x8